(1)
The following is a DFT calculation (PBE-GGA) of Ni3HgAs after structural relaxation.

The structure in POSCAR format:
```
Ni3HgAs
1.0
4.695 0.000 0.000
0.000 4.695 0.000
0.000 0.000 4.695
Ni As Hg
3 1 1
direct
0.000 0.500 0.000
0.000 0.000 0.500
0.500 0.000 0.000
0.500 0.500 0.500
0.000 0.000 0.000
```

Space-group type = Pm-3m
Polymorph energy (0 for the lowest one) = 23.87 kcal/mol of atoms

***

(2)
The following is a DFT calculation (PBE-GGA) of CsHgCl3 after structural relaxation.

The structure in POSCAR format:
```
CsHgCl3
1.0
7.718 0.000 0.000
0.000 7.718 0.000
0.000 0.000 5.575
Cs Hg Cl
2 2 6
direct
0.000 0.000 0.000
0.500 0.500 0.000
0.000 0.500 0.503
0.500 0.000 0.497
0.000 0.500 0.001
0.225 0.725 0.500
0.275 0.225 0.500
0.725 0.775 0.500
0.775 0.275 0.500
0.500 0.000 0.999
```

Uncorrected formation energy = -1181 meV/atom
Space-group type = P-42_1m
Polymorph energy (0 for the lowest one) = 0.37 kcal/mol of atoms

***

(3)
The following is a DFT calculation (PBE-GGA) of MgBe17Ru after structural relaxation.

The structure in POSCAR format:
```
MgBe17Ru
1.0
-1.659 1.911 -4.936
-5.365 -1.330 0.465
-1.836 4.947 1.709
Mg Be Ru
1 17 1
direct
0.660 0.660 0.660
0.297 0.005 0.698
0.698 0.297 0.005
0.005 0.698 0.297
0.297 0.698 0.005
0.005 0.297 0.698
0.698 0.005 0.297
0.341 0.852 0.341
0.341 0.341 0.852
0.852 0.341 0.341
0.650 0.169 0.650
0.650 0.650 0.169
0.169 0.650 0.650
0.001 0.503 0.001
0.001 0.001 0.503
0.503 0.001 0.001
0.903 0.903 0.903
0.101 0.101 0.101
0.328 0.328 0.328
```

DFT total energy = -3.9855 eV/atom
Space-group type = R3m

***

(4)
The following is a DFT calculation (PBE-GGA) of AcPu3Tl4O12 after structural relaxation.

The structure in POSCAR format:
```
AcPu3Tl4O12
1.0
-0.102 -2.793 -7.110
-4.943 -3.890 4.335
-1.985 7.375 -0.133
Ac Pu Tl O
1 3 4 12
direct
0.000 0.000 0.000
0.500 0.000 0.500
0.500 0.500 0.000
0.000 0.500 0.500
0.500 0.500 0.500
0.000 0.000 0.500
0.500 0.000 0.000
0.000 0.500 0.000
0.250 0.500 0.750
0.723 0.000 0.723
0.277 0.000 0.277
0.750 0.500 0.250
0.723 0.723 0.000
0.277 0.277 0.000
0.750 0.250 0.500
0.250 0.750 0.500
0.500 0.250 0.750
0.000 0.723 0.723
0.500 0.750 0.250
0.000 0.277 0.277
```

Uncorrected formation energy = -2159 meV/atom
Space-group type = Im-3m

***

(5)
The following is a DFT calculation (PBE-GGA) of UAg4Sn after structural relaxation.

The structure in POSCAR format:
```
UAg4Sn
1.0
5.650 0.000 0.000
2.825 4.893 0.000
2.825 1.631 4.613
U Sn Ag
1 1 4
direct
0.250 0.250 0.250
0.000 0.000 0.000
0.625 0.625 0.126
0.625 0.126 0.625
0.625 0.625 0.625
0.126 0.625 0.625
```

DFT total energy = -4.2680 eV/atom
Space-group type = F-43m

***

Number 1: calculated density 7.25 Mg/m³. Number 2: calculated density 4.40 Mg/m³. Number 3: calculated density 2.78 Mg/m³. Number 4: calculated density 9.53 Mg/m³. Number 5: calculated density 10.27 Mg/m³.